(1)
Density functional theory data (PBE-GGA) for a relaxed structure of TcAs2Rh.

abc: 4.340 4.340 3.161
angles: 90.00 90.00 90.00
Atoms (fractional coordinates):
Tc (0.000, 0.000, 0.000)
As (0.000, 0.500, 0.500)
As (0.500, 0.000, 0.500)
Rh (0.500, 0.500, 0.000)

Calculated values
* relative energy among the computed polymorphs: 0.1265 eV/atom
* space-group type: No. 123
* calculated volume: 60 Å³ per cell
* energy relative to the elements: -0.096 eV/atom
* calculated total energy: -27.4 eV for the cell shown
* total magnetization: 0.00 μB/cell

---

(2)
Density functional theory data (PBE-GGA) for a relaxed structure of TcAs2Rh.

abc: 3.028 3.028 23.210
angles: 90.00 90.00 120.00
Atoms (fractional coordinates):
Tc (0.000, 0.000, 0.000)
Tc (0.333, 0.667, 0.667)
Tc (0.667, 0.333, 0.333)
As (0.000, 0.000, 0.252)
As (0.000, 0.000, 0.748)
As (0.333, 0.667, 0.415)
As (0.333, 0.667, 0.918)
As (0.667, 0.333, 0.082)
As (0.667, 0.333, 0.585)
Rh (0.000, 0.000, 0.500)
Rh (0.333, 0.667, 0.167)
Rh (0.667, 0.333, 0.833)

Calculated values
* relative energy among the computed polymorphs: 0.1034 eV/atom
* space-group type: No. 166
* calculated volume: 184 Å³ per cell
* energy relative to the elements: -0.119 eV/atom
* calculated total energy: -82.5 eV for the cell shown
* total magnetization: 0.00 μB/cell

---

(3)
Density functional theory data (PBE-GGA) for a relaxed structure of TcAsRh2.

abc: 4.631 4.631 2.786
angles: 90.00 90.00 90.00
Atoms (fractional coordinates):
Tc (0.000, 0.000, 0.000)
As (0.500, 0.500, 0.000)
Rh (0.000, 0.500, 0.500)
Rh (0.500, 0.000, 0.500)

Calculated values
* space-group type: No. 123
* calculated volume: 60 Å³ per cell
* energy relative to the elements: 0.144 eV/atom
* calculated total energy: -29.1 eV for the cell shown
* total magnetization: 0.64 μB/cell

---

(4)
Density functional theory data (PBE-GGA) for a relaxed structure of TcAsRh2.

abc: 3.885 2.860 10.540
angles: 90.00 90.00 90.00
Atoms (fractional coordinates):
Tc (0.000, 0.000, 0.000)
Tc (0.000, 0.500, 0.500)
As (0.500, 0.000, 0.151)
As (0.500, 0.500, 0.651)
Rh (0.000, 0.000, 0.740)
Rh (0.000, 0.500, 0.240)
Rh (0.500, 0.000, 0.387)
Rh (0.500, 0.500, 0.887)

Calculated values
* space-group type: No. 38
* calculated volume: 117 Å³ per cell
* energy relative to the elements: -0.132 eV/atom
* calculated total energy: -60.5 eV for the cell shown
* total magnetization: 0.00 μB/cell